{"formula": "PmVGe3", "functional": "GGA-PBE", "state": "relaxed", "lattice": [[6.250, 0.000, 0.000], [-3.125, 5.413, 0.000], [0.000, 0.000, 5.595]], "species": ["Pm", "Pm", "V", "V", "Ge", "Ge", "Ge", "Ge", "Ge", "Ge"], "frac_coords": [[0.333, 0.667, 0.250], [0.667, 0.333, 0.750], [0.000, 0.000, 0.000], [0.000, 0.000, 0.500], [0.195, 0.390, 0.750], [0.195, 0.805, 0.750], [0.390, 0.195, 0.250], [0.610, 0.805, 0.750], [0.805, 0.195, 0.250], [0.805, 0.610, 0.250]], "final_energy_ev_per_atom": -6.0458, "space_group": "P6_3/mmc, No. 194"}